A plane-wave DFT calculation with PBE was carried out for a geometry-optimized GdY2Si structure.

Cell: 3.7181 3.7181 29.5545 Å, 90.00 90.00 120.00°
With the nearest neighbours (Å) after each atom.
Fractional coordinates of all 12 atoms:
Gd  0.0000  0.0000  0.0000  6 Gd 3.72, 6 Y 3.73
Gd  0.3333  0.6667  0.6667  6 Gd 3.72, 6 Y 3.73
Gd  0.6667  0.3333  0.3333  6 Gd 3.72, 6 Y 3.73
Y  0.0000  0.0000  0.2303  3 Si 2.85
Y  0.0000  0.0000  0.7697  3 Si 2.85
Y  0.3333  0.6667  0.4364  3 Si 2.85
Y  0.3333  0.6667  0.8969  3 Si 2.85
Y  0.6667  0.3333  0.1031  3 Si 2.85
Y  0.6667  0.3333  0.5636  3 Si 2.85
Si  0.0000  0.0000  0.5000  6 Y 2.85
Si  0.3333  0.6667  0.1667  6 Y 2.85
Si  0.6667  0.3333  0.8333  6 Y 2.85

Results
uncorrected formation energy	-0.170	eV/atom
crystal system	trigonal
theoretical density	5.1	g/cm3